(1)
Computed, not measured: a geometry-optimized Y2BeFe2 structure at the PBE level of DFT.

abc: 6.555 6.555 4.196
angles: 90.00 90.00 90.00
Space group P4/mbm (No. 127)
Unique sites:
Y 0.182 0.318 0.000
Be 0.000 0.000 0.500
Fe 0.120 0.620 0.500

Values from the calculation:
The calculation puts the size of the total moment at 2.8 μB/f.u. For the formation energy from the elements, the calculation gives 0.1306 eV per atom. The value obtained for the density of states at the Fermi level is 1.35 states/eV per atom. The calculated volume comes out at 18.03 Å³ per atom.


(2)
Computed, not measured: a geometry-optimized Ba3In3Hg8 structure at the PBE level of DFT.

abc: 5.364 10.112 15.436
angles: 90.00 90.00 90.00
Space group Immm (No. 71)
Unique sites:
Ba 0.000 0.000 0.000
Ba 0.000 0.000 0.291
In 0.000 0.177 0.500
In 0.000 0.500 0.000
Hg 0.000 0.288 0.144
Hg 0.000 0.356 0.344

Values from the calculation:
The calculation puts the size of the total moment at 0.0 μB/f.u. For the formation energy from the elements, the calculation gives -0.3838 eV per atom. The value obtained for the density of states at the Fermi level is 0.44 states/eV per atom. The calculated volume comes out at 29.90 Å³ per atom.


(3)
Computed, not measured: a geometry-optimized BaLaZr2 structure at the PBE level of DFT.

abc: 3.437 3.437 10.571
angles: 90.00 90.00 90.00
Space group P4/mmm (No. 123)
Unique sites:
Ba 0.000 0.000 0.000
La 0.000 0.000 0.500
Zr 0.500 0.500 0.278

Values from the calculation:
The calculation puts the size of the total moment at 0.0 μB/f.u. For the formation energy from the elements, the calculation gives 0.4642 eV per atom. The value obtained for the density of states at the Fermi level is 1.34 states/eV per atom. The calculated volume comes out at 31.22 Å³ per atom. The offset from the most stable computed form is 4.28 kcal/mol of atoms.


(4)
Computed, not measured: a geometry-optimized NbIr2Se structure at the PBE level of DFT.

abc: 5.738 5.738 11.042
angles: 90.00 90.00 90.00
Space group I-42d (No. 122)
Unique sites:
Nb 0.000 0.000 0.000
Ir 0.233 0.250 0.625
Se 0.000 0.000 0.500

Values from the calculation:
The calculation puts the size of the total moment at 0.0 μB/f.u. The calculation puts the formation energy from raw total energies at 0.30 eV/atom. The value obtained for the density of states at the Fermi level is 0.53 states/eV per atom. The calculated volume comes out at 22.72 Å³ per atom.